No. 1
{
  "formula": "La2ReSe",
  "functional": "PBE-GGA",
  "state": "relaxed",
  "lattice": [[6.602, 0.007, 0.010], [5.643, 3.428, 0.010], [1.737, 0.487, 4.449]],
  "species": ["Se", "La", "Re", "La"],
  "fractional_positions": [[0.811, 0.811, 0.689], [0.222, 0.222, 0.278], [0.474, 0.474, 0.526], [0.993, 0.993, 0.007]],
  "spacegroup": "Imm2",
  "magnetic_moment_mub_per_cell": 0.001,
  "formation_energy_uncorrected_ev_per_fu": -1.45,
  "dos_ef_per_ev_cell": 2.938
}

No. 2
{
  "formula": "Pm3Pr3Ni4",
  "functional": "PBE-GGA",
  "state": "relaxed",
  "lattice": [[-3.158, -1.726, -1.528], [4.556, -5.540, -3.157], [-0.789, -4.311, 6.497]],
  "species": ["Pr", "Ni", "Pr", "Ni", "Pm", "Ni", "Pm", "Ni", "Pm", "Pr"],
  "fractional_positions": [[0.000, 0.502, 0.999], [0.000, 0.115, 0.120], [0.500, 0.164, 0.836], [0.000, 0.617, 0.383], [0.500, 0.336, 0.335], [0.000, 0.880, 0.885], [0.500, 0.834, 0.166], [0.000, 0.386, 0.614], [0.500, 0.665, 0.664], [0.000, 0.001, 0.498]],
  "spacegroup": "Amm2",
  "magnetic_moment_mub_per_cell": 0.000,
  "ef_ev_per_atom": -0.209,
  "dos_ef_per_ev_cell": 8.745
}

No. 3
{
  "formula": "Ba2ScAs",
  "functional": "PBE-GGA",
  "state": "relaxed",
  "lattice": [[-4.938, -2.913, 2.778], [-1.470, -5.592, -2.676], [5.394, 2.628, 2.140]],
  "species": ["Ba", "As", "Sc", "Ba"],
  "fractional_positions": [[0.000, 0.000, 0.000], [0.750, 0.250, 0.500], [0.250, 0.750, 0.500], [0.500, 0.500, 0.000]],
  "spacegroup": "I4/mmm",
  "magnetic_moment_mub_per_cell": 0.629,
  "ef_ev_per_atom": -0.069,
  "dos_ef_per_ev_cell": 5.675
}

No. 4
{
  "formula": "La2NdDy2Er2",
  "functional": "PBE-GGA",
  "state": "relaxed",
  "lattice": [[5.096, 0.000, 0.000], [-2.548, 5.700, 0.279], [0.000, -1.540, 7.970]],
  "species": ["La", "Er", "La", "Dy", "Nd", "Er", "Dy"],
  "fractional_positions": [[0.142, 0.284, 0.427], [0.429, 0.858, 0.282], [0.858, 0.716, 0.573], [0.716, 0.432, 0.139], [0.000, 0.000, 0.000], [0.571, 0.142, 0.718], [0.284, 0.568, 0.861]],
  "spacegroup": "C2/m",
  "magnetic_moment_mub_per_cell": 0.000,
  "ef_ev_per_atom": 0.030,
  "dos_ef_per_ev_cell": 11.201
}

No. 5
{
  "formula": "AcLaHo2S4",
  "functional": "PBE-GGA",
  "state": "relaxed",
  "lattice": [[-3.964, -0.193, 0.146], [0.292, -7.100, -1.460], [0.387, -3.443, 5.983]],
  "species": ["S", "Ho", "S", "Ac", "S", "Ho", "S", "La"],
  "fractional_positions": [[0.500, 0.223, 0.756], [0.500, 0.000, 0.500], [0.000, 0.220, 0.264], [0.500, 0.500, 0.000], [0.500, 0.777, 0.244], [0.000, 0.000, 0.000], [0.000, 0.780, 0.736], [0.000, 0.500, 0.500]],
  "spacegroup": "P2/m",
  "magnetic_moment_mub_per_cell": 0.000,
  "formation_energy_uncorrected_ev_per_fu": -16.20,
  "dos_ef_per_ev_cell": 4.052
}

No. 6
{
  "formula": "MgTePb2",
  "functional": "PBE-GGA",
  "state": "relaxed",
  "lattice": [[-0.086, 3.587, -5.815], [-6.825, -0.307, -0.089], [-3.772, 7.619, 0.742]],
  "species": ["Pb", "Mg", "Pb", "Mg", "Pb", "Pb", "Te", "Te"],
  "fractional_positions": [[0.875, 0.856, 0.750], [0.250, 0.750, 0.500], [0.606, 0.125, 0.250], [0.500, 0.500, 0.000], [0.375, 0.394, 0.750], [0.144, 0.625, 0.250], [0.000, 0.000, 0.000], [0.750, 0.250, 0.500]],
  "spacegroup": "I-42d",
  "magnetic_moment_mub_per_cell": 0.000,
  "relative_energy_mev_per_atom": 320,
  "formation_energy_uncorrected_ev_per_fu": 0.49,
  "dos_ef_per_ev_cell": 0.061
}

No. 7
{
  "formula": "CsCuRe2",
  "functional": "PBE-GGA",
  "state": "relaxed",
  "lattice": [[4.148, 0.000, 0.000], [0.000, 4.148, 0.000], [2.074, 2.074, 10.168]],
  "species": ["Cs", "Cu", "Re", "Re", "Cs", "Re", "Cu", "Re"],
  "fractional_positions": [[0.000, 0.000, 0.000], [0.250, 0.750, 0.500], [0.875, 0.472, 0.750], [0.375, 0.778, 0.750], [0.750, 0.250, 0.500], [0.528, 0.625, 0.250], [0.500, 0.500, 0.000], [0.222, 0.125, 0.250]],
  "spacegroup": "I-42d",
  "magnetic_moment_mub_per_cell": 0.000,
  "relative_energy_mev_per_atom": 0,
  "ef_ev_per_atom": 1.735,
  "dos_ef_per_ev_cell": 6.555
}

No. 8
{
  "formula": "Li2In5Ag",
  "functional": "PBE-GGA",
  "state": "relaxed",
  "lattice": [[-0.788, -1.694, 3.897], [5.094, 1.536, -0.698], [-3.862, 15.523, 5.967]],
  "species": ["Ag", "In", "In", "In", "Li", "In", "Ag", "In", "In", "In", "Li", "In", "Li", "In", "In", "Li"],
  "fractional_positions": [[0.830, 0.659, 0.750], [0.044, 0.089, 0.400], [0.346, 0.692, 0.461], [0.460, 0.921, 0.250], [0.248, 0.495, 0.656], [0.540, 0.079, 0.750], [0.170, 0.341, 0.250], [0.956, 0.911, 0.600], [0.956, 0.911, 0.900], [0.044, 0.089, 0.100], [0.752, 0.505, 0.344], [0.654, 0.308, 0.539], [0.248, 0.495, 0.844], [0.654, 0.308, 0.961], [0.346, 0.692, 0.039], [0.752, 0.505, 0.156]],
  "spacegroup": "Cmcm",
  "magnetic_moment_mub_per_cell": 0.000,
  "ef_ev_per_atom": -0.122,
  "dos_ef_per_ev_cell": 4.853
}

No. 9
{
  "formula": "ReIr2Cl",
  "functional": "PBE-GGA",
  "state": "relaxed",
  "lattice": [[-2.184, 1.191, -1.313], [-0.150, -0.772, 2.700], [3.145, 8.702, 2.662]],
  "species": ["Re", "Ir", "Ir", "Cl"],
  "fractional_positions": [[0.000, 0.000, 0.501], [0.500, 0.500, 0.262], [0.000, 0.000, 0.024], [0.500, 0.500, 0.713]],
  "spacegroup": "Cmm2",
  "magnetic_moment_mub_per_cell": 0.399,
  "relative_energy_mev_per_atom": 375,
  "formation_energy_uncorrected_ev_per_fu": 2.67,
  "dos_ef_per_ev_cell": 5.533
}